Record 1
TeMo3: optimized geometry, GGA-PBE.

Results
total energy: -33.1 eV per cell
DOS(E_F): 7.03 states/eV/cell
calculated volume: 69 Å³/cell
distance to the lowest polymorph of the same formula: 336 meV/atom

POSCAR file:
```
TeMo3
1.0
-3.176 -2.521 -0.552
0.434 -1.385 3.826
-2.544 2.911 1.342
Te Mo
1 3
direct
0.000 0.000 0.000 Te
0.500 0.500 0.000 Mo
0.500 0.000 0.500 Mo
0.000 0.500 0.500 Mo
```

=====

Record 2
CdCl2F2: optimized geometry, GGA-PBE.

Results
total energy: -14.6 eV per cell
calculated volume: 105 Å³/cell
distance to the lowest polymorph of the same formula: 0 meV/atom

POSCAR file:
```
CdCl2F2
1.0
-1.831 1.127 2.982
-1.812 -1.586 -2.779
2.743 -7.495 4.517
F Cl Cd
2 2 1
direct
0.694 0.389 0.101 F
0.306 0.611 0.899 F
0.089 0.178 0.602 Cl
0.911 0.822 0.398 Cl
0.000 0.000 0.000 Cd
```

=====

Record 3
Ca2MnGeN: optimized geometry, GGA-PBE.

Results
total energy: -28.7 eV per cell
DOS(E_F): 2.68 states/eV/cell
calculated volume: 96 Å³/cell

POSCAR file:
```
Ca2MnGeN
1.0
-1.951 -3.542 -2.846
4.459 -2.089 -0.457
-0.694 -2.180 3.190
N Ge Mn Ca
1 1 1 2
direct
0.000 0.000 0.000 N
0.500 0.500 0.500 Ge
0.000 0.000 0.500 Mn
0.500 0.000 0.000 Ca
0.000 0.500 0.000 Ca
```

=====

Record 4
HgP2W: optimized geometry, GGA-PBE.

Results
energy relative to the elements: 1.375 eV/f.u.
total energy: -45.4 eV per cell
DOS(E_F): 5.84 states/eV/cell
calculated volume: 187 Å³/cell

POSCAR file:
```
HgP2W
1.0
5.861 0.000 0.000
0.000 5.861 0.000
2.930 2.930 5.433
Hg P W
2 4 2
direct
0.750 0.250 0.500 Hg
0.000 0.000 0.000 Hg
0.172 0.625 0.250 P
0.578 0.125 0.250 P
0.875 0.828 0.750 P
0.375 0.422 0.750 P
0.500 0.500 0.000 W
0.250 0.750 0.500 W
```

=====

Record 5
CaCeIr: optimized geometry, GGA-PBE.

Results
energy relative to the elements: -1.136 eV/f.u.
total energy: -35.9 eV per cell
DOS(E_F): 11.24 states/eV/cell
calculated volume: 175 Å³/cell
distance to the lowest polymorph of the same formula: 46 meV/atom

POSCAR file:
```
CaCeIr
1.0
3.667 0.004 0.032
0.000 6.953 0.811
0.055 0.893 6.955
Ca Ce Ir
2 2 2
direct
0.612 0.396 0.039 Ca
0.126 0.887 0.100 Ca
0.628 0.999 0.618 Ce
0.631 0.515 0.542 Ce
0.123 0.239 0.762 Ir
0.122 0.691 0.757 Ir
```

=====

Record 6
In2Bi2Pd: optimized geometry, GGA-PBE.

Results
energy relative to the elements: 0.019 eV/f.u.
total energy: -36.8 eV per cell
DOS(E_F): 5.11 states/eV/cell
calculated volume: 288 Å³/cell
distance to the lowest polymorph of the same formula: 112 meV/atom

POSCAR file:
```
In2Bi2Pd
1.0
7.325 0.000 0.000
0.000 7.325 0.000
0.000 0.000 5.369
In Pd Bi
4 2 4
direct
0.336 0.164 0.500 In
0.664 0.836 0.500 In
0.836 0.336 0.500 In
0.164 0.664 0.500 In
0.000 0.000 0.000 Pd
0.500 0.500 0.000 Pd
0.346 0.846 0.000 Bi
0.846 0.654 0.000 Bi
0.654 0.154 0.000 Bi
0.154 0.346 0.000 Bi
```

=====

Record 7
MoAuCl2: optimized geometry, GGA-PBE.

Results
total energy: -17.5 eV per cell
DOS(E_F): 2.93 states/eV/cell
calculated volume: 78 Å³/cell
distance to the lowest polymorph of the same formula: 273 meV/atom

POSCAR file:
```
MoAuCl2
1.0
3.060 0.000 0.000
0.000 3.060 0.000
0.000 0.000 8.336
Au Cl Mo
1 2 1
direct
0.500 0.500 0.725 Au
0.000 0.000 0.939 Cl
0.500 0.500 0.328 Cl
0.000 0.000 0.507 Mo
```

=====

Record 8
Rb3Th3AgS8: optimized geometry, GGA-PBE.

Results
total energy: -84.4 eV per cell
DOS(E_F): 0.00 states/eV/cell
calculated volume: 468 Å³/cell

POSCAR file:
```
Rb3Th3AgS8
1.0
-4.266 -4.573 5.551
-2.325 0.067 -8.029
7.615 -4.547 2.106
S Rb Th Ag
8 3 3 1
direct
0.239 0.951 0.690 S
0.267 0.534 0.300 S
0.733 0.466 0.700 S
0.761 0.049 0.310 S
0.762 0.524 0.311 S
0.288 0.049 0.310 S
0.238 0.476 0.689 S
0.712 0.951 0.690 S
0.000 0.500 0.000 Rb
0.000 0.000 0.000 Rb
0.500 0.500 0.000 Rb
0.500 0.000 0.500 Th
0.500 0.500 0.500 Th
0.000 0.500 0.500 Th
0.000 0.000 0.500 Ag
```

=====

Record 9
Er4Si2Te: optimized geometry, GGA-PBE.

Results
total energy: -73.6 eV per cell
DOS(E_F): 7.57 states/eV/cell
calculated volume: 446 Å³/cell

POSCAR file:
```
Er4Si2Te
1.0
-2.910 7.883 1.696
-3.711 -2.912 7.158
8.376 -1.286 -1.312
Er Si Te
8 4 2
direct
0.855 0.565 0.710 Er
0.395 0.605 0.790 Er
0.395 0.185 0.790 Er
0.855 0.145 0.710 Er
0.435 0.145 0.290 Er
0.395 0.605 0.210 Er
0.855 0.145 0.290 Er
0.815 0.605 0.210 Er
0.625 0.375 0.250 Si
0.125 0.375 0.750 Si
0.625 0.375 0.750 Si
0.625 0.875 0.250 Si
0.250 0.750 0.500 Te
0.000 0.000 0.000 Te
```

=====

Record 10
GaAgI2O: optimized geometry, GGA-PBE.

Results
total energy: -13.5 eV per cell
DOS(E_F): 4.25 states/eV/cell
calculated volume: 141 Å³/cell
distance to the lowest polymorph of the same formula: 432 meV/atom

POSCAR file:
```
GaAgI2O
1.0
5.845 0.000 0.000
0.000 5.845 0.000
0.000 0.000 4.114
Ag I O Ga
1 2 1 1
direct
0.000 0.000 0.000 Ag
0.000 0.500 0.000 I
0.500 0.000 0.000 I
0.000 0.000 0.500 O
0.500 0.500 0.500 Ga
```

=====

Record 11
Pu2HfO8: optimized geometry, GGA-PBE.

Results
total energy: -103.8 eV per cell
DOS(E_F): 11.88 states/eV/cell
calculated volume: 215 Å³/cell

POSCAR file:
```
Pu2HfO8
1.0
-4.777 -5.833 0.057
4.210 -3.430 1.837
-3.313 2.750 3.784
Pu O Hf
2 8 1
direct
0.688 0.667 0.333 Pu
0.312 0.333 0.667 Pu
0.833 0.834 0.166 O
0.167 0.166 0.834 O
0.167 0.166 0.332 O
0.440 0.667 0.333 O
0.560 0.333 0.667 O
0.833 0.332 0.166 O
0.833 0.834 0.668 O
0.167 0.668 0.834 O
0.000 0.000 0.000 Hf
```

=====

Record 12
La2CrPS: optimized geometry, GGA-PBE.

Results
total energy: -31.6 eV per cell
DOS(E_F): 7.10 states/eV/cell
calculated volume: 125 Å³/cell

POSCAR file:
```
La2CrPS
1.0
5.502 0.000 0.000
0.000 4.143 0.000
0.000 0.000 5.502
S Cr La P
1 1 2 1
direct
0.000 0.000 0.000 S
0.000 0.500 0.000 Cr
0.500 0.000 0.000 La
0.000 0.000 0.500 La
0.500 0.500 0.500 P
```

=====

Record 13
SmScMn4: optimized geometry, GGA-PBE.

Results
energy relative to the elements: 0.719 eV/f.u.
total energy: -47.0 eV per cell
DOS(E_F): 9.80 states/eV/cell
calculated volume: 91 Å³/cell

POSCAR file:
```
SmScMn4
1.0
5.044 0.000 0.000
2.522 4.368 0.000
2.522 1.456 4.118
Sm Mn Sc
1 4 1
direct
0.250 0.250 0.250 Sm
0.626 0.626 0.626 Mn
0.123 0.626 0.626 Mn
0.626 0.123 0.626 Mn
0.626 0.626 0.123 Mn
0.000 0.000 0.000 Sc
```

=====

Record 14
BaBiTe2F: optimized geometry, GGA-PBE.

Results
total energy: -43.8 eV per cell
DOS(E_F): 0.01 states/eV/cell
calculated volume: 328 Å³/cell

POSCAR file:
```
BaBiTe2F
1.0
-3.141 1.159 3.004
-2.850 -2.954 -1.840
5.402 -11.493 10.087
Te F Ba Bi
4 2 2 2
direct
0.000 0.500 0.092 Te
0.500 0.000 0.304 Te
0.500 0.000 0.908 Te
0.000 0.500 0.696 Te
0.500 0.500 0.500 F
0.000 0.000 0.500 F
0.500 0.000 0.593 Ba
0.000 0.500 0.407 Ba
0.500 0.000 0.127 Bi
0.000 0.500 0.873 Bi
```

=====

Record 15
SrIn4Se: optimized geometry, GGA-PBE.

Results
total energy: -17.2 eV per cell
DOS(E_F): 4.17 states/eV/cell
calculated volume: 173 Å³/cell

POSCAR file:
```
SrIn4Se
1.0
0.000 4.426 4.426
4.426 0.000 4.426
4.426 4.426 0.000
In Se Sr
4 1 1
direct
0.375 0.375 0.875 In
0.375 0.375 0.375 In
0.875 0.375 0.375 In
0.375 0.875 0.375 In
0.750 0.750 0.750 Se
0.000 0.000 0.000 Sr
```

=====

Record 16
Ac2LaHoSb4: optimized geometry, GGA-PBE.

Results
total energy: -43.7 eV per cell
DOS(E_F): 0.87 states/eV/cell
calculated volume: 285 Å³/cell

POSCAR file:
```
Ac2LaHoSb4
1.0
4.657 0.000 0.000
0.000 8.055 -0.160
0.000 2.834 7.537
Sb Ac La Ho
4 2 1 1
direct
0.000 0.265 0.252 Sb
0.500 0.269 0.737 Sb
0.500 0.731 0.263 Sb
0.000 0.735 0.748 Sb
0.000 0.000 0.000 Ac
0.500 0.000 0.500 Ac
0.500 0.500 0.000 La
0.000 0.500 0.500 Ho
```

=====

Record 17
Tb7Pr12Pb: optimized geometry, GGA-PBE.

Results
energy relative to the elements: 12.182 eV/f.u.
total energy: -81.3 eV per cell
DOS(E_F): 35.00 states/eV/cell
calculated volume: 800 Å³/cell

POSCAR file:
```
Tb7Pr12Pb
1.0
9.549 0.000 -3.376
-4.775 8.270 -3.376
0.000 0.000 10.128
Pr Tb Pb
12 7 1
direct
0.438 0.219 0.219 Pr
0.219 0.219 0.438 Pr
0.562 0.781 0.781 Pr
0.000 0.219 0.781 Pr
0.219 0.781 0.000 Pr
0.000 0.781 0.219 Pr
0.781 0.000 0.219 Pr
0.781 0.219 0.000 Pr
0.219 0.000 0.781 Pr
0.781 0.781 0.562 Pr
0.781 0.562 0.781 Pr
0.219 0.438 0.219 Pr
0.500 0.500 0.500 Tb
0.500 0.000 0.500 Tb
0.500 0.500 0.000 Tb
0.000 0.500 0.000 Tb
0.000 0.000 0.500 Tb
0.000 0.500 0.500 Tb
0.500 0.000 0.000 Tb
0.000 0.000 0.000 Pb
```